{
  "formula": "OsSe2BrF",
  "functional": "meta-GGA SCAN",
  "state": "PBEsol geometry",
  "lattice_angstrom": [[4.832, 0.000, 0.000], [0.000, 4.832, 0.000], [0.000, 0.000, 4.095]],
  "species": ["Os", "Se", "Se", "Br", "F"],
  "frac_coords": [[0.000, 0.000, 0.000], [0.000, 0.500, 0.000], [0.500, 0.000, 0.000], [0.500, 0.500, 0.500], [0.000, 0.000, 0.500]],
  "magmom_total_mub_per_fu": 0.00,
  "energy_ha_per_atom": -0.991
}



{
  "formula": "TaOs2BrF",
  "functional": "meta-GGA SCAN",
  "state": "PBEsol geometry",
  "lattice_angstrom": [[4.043, 0.000, 0.000], [0.000, 4.043, 0.000], [0.000, 0.000, 4.775]],
  "species": ["Ta", "Os", "Os", "Br", "F"],
  "frac_coords": [[0.000, 0.000, 0.000], [0.000, 0.500, 0.500], [0.500, 0.000, 0.500], [0.500, 0.500, 0.000], [0.500, 0.500, 0.500]],
  "magmom_total_mub_per_fu": 0.00,
  "energy_ha_per_atom": -1.661
}



{
  "formula": "PbBrF2",
  "functional": "meta-GGA SCAN",
  "state": "PBEsol geometry",
  "lattice_angstrom": [[-2.279, 2.279, 7.902], [2.279, -2.279, 7.902], [2.279, 2.279, -7.902]],
  "species": ["Pb", "Pb", "Br", "Br", "F", "F", "F", "F"],
  "frac_coords": [[0.000, 0.000, 0.000], [0.750, 0.250, 0.500], [0.250, 0.750, 0.500], [0.500, 0.500, 0.000], [0.055, 0.625, 0.930], [0.375, 0.305, 0.430], [0.695, 0.125, 0.070], [0.875, 0.945, 0.570]],
  "magmom_total_mub_per_fu": 1.01,
  "energy_ha_per_atom": -0.988
}



{
  "formula": "Pb7Br2F12",
  "functional": "meta-GGA SCAN",
  "state": "PBEsol geometry",
  "lattice_angstrom": [[10.258, 0.000, 0.000], [-5.129, 8.883, 0.000], [0.000, 0.000, 3.963]],
  "species": ["Pb", "Pb", "Pb", "Pb", "Pb", "Pb", "Pb", "Br", "Br", "F", "F", "F", "F", "F", "F", "F", "F", "F", "F", "F", "F"],
  "frac_coords": [[0.000, 0.000, 0.000], [0.104, 0.694, 0.000], [0.306, 0.410, 0.000], [0.396, 0.108, 0.500], [0.590, 0.896, 0.000], [0.712, 0.604, 0.500], [0.892, 0.288, 0.500], [0.333, 0.667, 0.500], [0.667, 0.333, 0.000], [0.052, 0.433, 0.000], [0.082, 0.208, 0.500], [0.126, 0.918, 0.500], [0.276, 0.159, 0.000], [0.381, 0.948, 0.000], [0.427, 0.386, 0.500], [0.567, 0.619, 0.000], [0.614, 0.041, 0.500], [0.792, 0.874, 0.500], [0.841, 0.117, 0.000], [0.883, 0.724, 0.000], [0.959, 0.573, 0.500]],
  "magmom_total_mub_per_fu": 0.00,
  "energy_ha_per_atom": -1.153
}



{
  "formula": "Pb3BrF",
  "functional": "meta-GGA SCAN",
  "state": "PBEsol geometry",
  "lattice_angstrom": [[5.642, 0.000, 0.000], [0.000, 5.642, 0.000], [0.000, 0.000, 5.642]],
  "species": ["Pb", "Pb", "Pb", "Br", "F"],
  "frac_coords": [[0.000, 0.000, 0.500], [0.000, 0.500, 0.000], [0.500, 0.000, 0.000], [0.000, 0.000, 0.000], [0.500, 0.500, 0.500]],
  "magmom_total_mub_per_fu": 0.00,
  "energy_ha_per_atom": -1.831
}



{
  "formula": "PbSe2BrF",
  "functional": "meta-GGA SCAN",
  "state": "PBEsol geometry",
  "lattice_angstrom": [[5.500, 0.000, 0.000], [0.000, 5.500, 0.000], [0.000, 0.000, 5.524]],
  "species": ["Pb", "Se", "Se", "Br", "F"],
  "frac_coords": [[0.000, 0.000, 0.000], [0.000, 0.500, 0.000], [0.500, 0.000, 0.000], [0.000, 0.000, 0.500], [0.500, 0.500, 0.500]],
  "magmom_total_mub_per_fu": 3.01,
  "energy_ha_per_atom": -1.009
}



{
  "formula": "Ta2PbBrF",
  "functional": "meta-GGA SCAN",
  "state": "PBEsol geometry",
  "lattice_angstrom": [[5.376, 0.000, 0.000], [0.000, 5.376, 0.000], [0.000, 0.000, 5.558]],
  "species": ["Ta", "Ta", "Pb", "Br", "F"],
  "frac_coords": [[0.000, 0.500, 0.000], [0.500, 0.000, 0.000], [0.000, 0.000, 0.000], [0.000, 0.000, 0.500], [0.500, 0.500, 0.500]],
  "magmom_total_mub_per_fu": 5.95,
  "energy_ha_per_atom": -1.636
}



{
  "formula": "TcPd2BrF",
  "functional": "meta-GGA SCAN",
  "state": "PBEsol geometry",
  "lattice_angstrom": [[4.755, 0.000, 0.000], [0.000, 4.755, 0.000], [0.000, 0.000, 4.656]],
  "species": ["Tc", "Pd", "Pd", "Br", "F"],
  "frac_coords": [[0.000, 0.000, 0.000], [0.000, 0.500, 0.000], [0.500, 0.000, 0.000], [0.000, 0.000, 0.500], [0.500, 0.500, 0.500]],
  "magmom_total_mub_per_fu": 0.00,
  "energy_ha_per_atom": -0.882
}



{
  "formula": "PtBrF2",
  "functional": "meta-GGA SCAN",
  "state": "PBEsol geometry",
  "lattice_angstrom": [[1.424, 0.822, 8.449], [-1.424, 0.822, 8.449], [0.000, -1.644, 8.449]],
  "species": ["Pt", "Br", "F", "F"],
  "frac_coords": [[0.000, 0.000, 0.000], [0.500, 0.500, 0.500], [0.425, 0.425, 0.425], [0.575, 0.575, 0.575]],
  "magmom_total_mub_per_fu": 0.98,
  "e_above_lowest_polymorph_ev_per_atom": 0.531,
  "energy_ha_per_atom": -0.890
}



{
  "formula": "PtBrF2",
  "functional": "meta-GGA SCAN",
  "state": "PBEsol geometry",
  "lattice_angstrom": [[1.394, 0.805, 9.578], [-1.394, 0.805, 9.578], [0.000, -1.609, 9.578]],
  "species": ["Pt", "Br", "F", "F"],
  "frac_coords": [[0.000, 0.000, 0.000], [0.500, 0.500, 0.500], [0.066, 0.066, 0.066], [0.934, 0.934, 0.934]],
  "magmom_total_mub_per_fu": 0.64,
  "e_above_lowest_polymorph_ev_per_atom": 0.000,
  "energy_ha_per_atom": -0.909
}



{
  "formula": "RbBrF4",
  "functional": "meta-GGA SCAN",
  "state": "PBEsol geometry",
  "lattice_angstrom": [[-3.479, 3.479, 5.170], [3.479, -3.479, 5.170], [3.479, 3.479, -5.170]],
  "species": ["Rb", "Rb", "Br", "Br", "F", "F", "F", "F", "F", "F", "F", "F"],
  "frac_coords": [[0.000, 0.000, 0.000], [0.500, 0.500, 0.000], [0.000, 0.500, 0.500], [0.500, 0.000, 0.500], [0.018, 0.518, 0.786], [0.231, 0.018, 0.500], [0.269, 0.769, 0.786], [0.482, 0.269, 0.500], [0.518, 0.731, 0.500], [0.731, 0.231, 0.214], [0.769, 0.982, 0.500], [0.982, 0.482, 0.214]],
  "magmom_total_mub_per_fu": 0.00,
  "energy_ha_per_atom": -0.393
}



{
  "formula": "RbZrBrF2",
  "functional": "meta-GGA SCAN",
  "state": "PBEsol geometry",
  "lattice_angstrom": [[5.034, 0.000, 0.000], [0.000, 5.034, 0.000], [0.000, 0.000, 5.737]],
  "species": ["Rb", "Zr", "Br", "F", "F"],
  "frac_coords": [[0.000, 0.000, 0.000], [0.500, 0.500, 0.000], [0.000, 0.000, 0.500], [0.000, 0.500, 0.500], [0.500, 0.000, 0.500]],
  "magmom_total_mub_per_fu": 2.85,
  "energy_ha_per_atom": -0.568
}



{
  "formula": "ReBr2F",
  "functional": "meta-GGA SCAN",
  "state": "PBEsol geometry",
  "lattice_angstrom": [[0.000, 3.078, 3.078], [3.078, 0.000, 3.078], [3.078, 3.078, 0.000]],
  "species": ["Re", "Br", "Br", "F"],
  "frac_coords": [[0.000, 0.000, 0.000], [0.250, 0.250, 0.250], [0.750, 0.750, 0.750], [0.500, 0.500, 0.500]],
  "magmom_total_mub_per_fu": 0.00,
  "energy_ha_per_atom": -1.035
}



{
  "formula": "RuBr2F",
  "functional": "meta-GGA SCAN",
  "state": "PBEsol geometry",
  "lattice_angstrom": [[0.000, 3.087, 3.087], [3.087, 0.000, 3.087], [3.087, 3.087, 0.000]],
  "species": ["Ru", "Br", "Br", "F"],
  "frac_coords": [[0.000, 0.000, 0.000], [0.250, 0.250, 0.250], [0.750, 0.750, 0.750], [0.500, 0.500, 0.500]],
  "magmom_total_mub_per_fu": 0.00,
  "e_above_lowest_polymorph_ev_per_atom": 0.020,
  "energy_ha_per_atom": -0.710
}



{
  "formula": "RuBr2F",
  "functional": "meta-GGA SCAN",
  "state": "PBEsol geometry",
  "lattice_angstrom": [[-3.248, 3.248, 3.873], [3.248, -3.248, 3.873], [3.248, 3.248, -3.873]],
  "species": ["Ru", "Ru", "Br", "Br", "Br", "Br", "F", "F"],
  "frac_coords": [[0.000, 0.000, 0.000], [0.750, 0.250, 0.500], [0.090, 0.625, 0.965], [0.375, 0.340, 0.465], [0.660, 0.125, 0.035], [0.875, 0.910, 0.535], [0.250, 0.750, 0.500], [0.500, 0.500, 0.000]],
  "magmom_total_mub_per_fu": 0.00,
  "e_above_lowest_polymorph_ev_per_atom": 0.000,
  "energy_ha_per_atom": -0.711
}



{
  "formula": "Ru3BrF",
  "functional": "meta-GGA SCAN",
  "state": "PBEsol geometry",
  "lattice_angstrom": [[4.344, 0.000, 0.000], [0.000, 4.344, 0.000], [0.000, 0.000, 4.344]],
  "species": ["Ru", "Ru", "Ru", "Br", "F"],
  "frac_coords": [[0.000, 0.000, 0.500], [0.000, 0.500, 0.000], [0.500, 0.000, 0.000], [0.500, 0.500, 0.500], [0.000, 0.000, 0.000]],
  "magmom_total_mub_per_fu": 8.27,
  "energy_ha_per_atom": -0.892
}



{
  "formula": "RuBr3F",
  "functional": "meta-GGA SCAN",
  "state": "PBEsol geometry",
  "lattice_angstrom": [[4.775, 0.000, 0.000], [0.000, 4.775, 0.000], [0.000, 0.000, 4.775]],
  "species": ["Ru", "Br", "Br", "Br", "F"],
  "frac_coords": [[0.000, 0.000, 0.000], [0.000, 0.500, 0.500], [0.500, 0.000, 0.500], [0.500, 0.500, 0.000], [0.500, 0.500, 0.500]],
  "magmom_total_mub_per_fu": 5.15,
  "energy_ha_per_atom": -0.679
}



{
  "formula": "SbSBr3F6",
  "functional": "meta-GGA SCAN",
  "state": "PBEsol geometry",
  "lattice_angstrom": [[8.023, 0.000, 0.000], [0.000, 9.589, 0.000], [-1.526, 0.000, 12.296]],
  "species": ["Sb", "Sb", "Sb", "Sb", "S", "S", "S", "S", "Br", "Br", "Br", "Br", "Br", "Br", "Br", "Br", "Br", "Br", "Br", "Br", "F", "F", "F", "F", "F", "F", "F", "F", "F", "F", "F", "F", "F", "F", "F", "F", "F", "F", "F", "F", "F", "F", "F", "F"],
  "frac_coords": [[0.202, 0.229, 0.066], [0.202, 0.271, 0.566], [0.798, 0.729, 0.434], [0.798, 0.771, 0.934], [0.208, 0.689, 0.710], [0.208, 0.811, 0.210], [0.792, 0.189, 0.790], [0.792, 0.311, 0.290], [0.206, 0.597, 0.264], [0.206, 0.903, 0.764], [0.265, 0.564, 0.856], [0.265, 0.936, 0.356], [0.434, 0.675, 0.630], [0.434, 0.825, 0.130], [0.566, 0.175, 0.870], [0.566, 0.325, 0.370], [0.735, 0.064, 0.644], [0.735, 0.436, 0.144], [0.794, 0.097, 0.236], [0.794, 0.403, 0.736], [0.008, 0.724, 0.015], [0.008, 0.776, 0.515], [0.116, 0.051, 0.102], [0.116, 0.449, 0.602], [0.131, 0.193, 0.694], [0.131, 0.307, 0.194], [0.273, 0.150, 0.936], [0.273, 0.350, 0.436], [0.292, 0.094, 0.529], [0.292, 0.406, 0.029], [0.415, 0.183, 0.142], [0.415, 0.317, 0.642], [0.585, 0.683, 0.358], [0.585, 0.817, 0.858], [0.708, 0.594, 0.971], [0.708, 0.906, 0.471], [0.727, 0.650, 0.564], [0.727, 0.850, 0.064], [0.869, 0.693, 0.806], [0.869, 0.807, 0.306], [0.884, 0.551, 0.398], [0.884, 0.949, 0.898], [0.992, 0.224, 0.485], [0.992, 0.276, 0.985]],
  "magmom_total_mub_per_fu": 0.00,
  "e_above_lowest_polymorph_ev_per_atom": 0.000,
  "energy_ha_per_atom": -0.478
}



{
  "formula": "SbSBr3F6",
  "functional": "meta-GGA SCAN",
  "state": "PBEsol geometry",
  "lattice_angstrom": [[8.232, 0.000, 0.000], [0.000, 9.471, 0.000], [0.000, 0.000, 12.321]],
  "species": ["Sb", "Sb", "Sb", "Sb", "S", "S", "S", "S", "Br", "Br", "Br", "Br", "Br", "Br", "Br", "Br", "Br", "Br", "Br", "Br", "F", "F", "F", "F", "F", "F", "F", "F", "F", "F", "F", "F", "F", "F", "F", "F", "F", "F", "F", "F", "F", "F", "F", "F"],
  "frac_coords": [[0.195, 0.048, 0.195], [0.305, 0.952, 0.695], [0.695, 0.452, 0.805], [0.805, 0.548, 0.305], [0.152, 0.472, 0.016], [0.348, 0.528, 0.516], [0.652, 0.028, 0.984], [0.848, 0.972, 0.484], [0.136, 0.494, 0.618], [0.147, 0.664, 0.918], [0.217, 0.311, 0.899], [0.283, 0.689, 0.399], [0.353, 0.336, 0.418], [0.364, 0.506, 0.118], [0.636, 0.006, 0.382], [0.647, 0.836, 0.082], [0.717, 0.189, 0.101], [0.783, 0.811, 0.601], [0.853, 0.164, 0.582], [0.864, 0.994, 0.882], [0.025, 0.963, 0.115], [0.065, 0.057, 0.323], [0.126, 0.233, 0.157], [0.126, 0.873, 0.778], [0.166, 0.955, 0.571], [0.226, 0.135, 0.737], [0.274, 0.865, 0.237], [0.334, 0.045, 0.071], [0.374, 0.127, 0.278], [0.374, 0.767, 0.657], [0.435, 0.943, 0.823], [0.475, 0.037, 0.615], [0.525, 0.537, 0.885], [0.565, 0.443, 0.677], [0.626, 0.267, 0.843], [0.626, 0.627, 0.222], [0.666, 0.545, 0.429], [0.726, 0.365, 0.263], [0.774, 0.635, 0.763], [0.834, 0.455, 0.929], [0.874, 0.373, 0.722], [0.874, 0.733, 0.343], [0.935, 0.557, 0.177], [0.975, 0.463, 0.385]],
  "magmom_total_mub_per_fu": 0.00,
  "e_above_lowest_polymorph_ev_per_atom": 0.003,
  "energy_ha_per_atom": -0.478
}



{
  "formula": "Sc2BrF",
  "functional": "meta-GGA SCAN",
  "state": "PBEsol geometry",
  "lattice_angstrom": [[1.680, 0.970, 8.329], [-1.680, 0.970, 8.329], [0.000, -1.939, 8.329]],
  "species": ["Sc", "Sc", "Br", "F"],
  "frac_coords": [[0.080, 0.080, 0.080], [0.920, 0.920, 0.920], [0.500, 0.500, 0.500], [0.000, 0.000, 0.000]],
  "magmom_total_mub_per_fu": 0.00,
  "energy_ha_per_atom": -0.534
}